A plane-wave DFT calculation with PBE was carried out for CoSBrN2 after structural relaxation.

abc: 3.5439 3.5439 7.8285
angles: 90.00 90.00 90.00
Last column: nearest neighbours and their distance in Å.
Element x y z (fractional)
S (0.0000, 0.0000, 0.5000)  4 Br 2.51
N (0.0000, 0.5000, 0.0000)  2 Co 1.77
Br (0.5000, 0.5000, 0.5000)  4 S 2.51
N (0.5000, 0.0000, 0.0000)  2 Co 1.77
Co (0.0000, 0.0000, 0.0000)  4 N 1.77

Results
- Fermi-level density of states: 4.1 states/eV/f.u.
- Size of the total moment: 0.24 Bohr magnetons per cell
- Energy: -4.722 eV per atom
- Calculated volume: 98.32 Å³ per cell